(1)
A plane-wave DFT calculation with PBE was carried out for a relaxed CsTeSe3 crystal.

```
data_CsTeSe3
_cell_length_a 7.312
_cell_length_b 7.685
_cell_length_c 7.261
_cell_angle_alpha 97.11
_cell_angle_beta 74.67
_cell_angle_gamma 91.41
_space_group_name_H-M_alt 'P 1'
_space_group_IT_number 1
loop_
_space_group_symop_operation_xyz
'x,y,z'
loop_
_atom_site_label
_atom_site_type_symbol
_atom_site_fract_x
_atom_site_fract_y
_atom_site_fract_z
Se1 Se 0.491 0.891 0.219
Se2 Se 0.477 0.208 0.800
Se3 Se 0.981 0.695 0.844
Se4 Se 0.066 0.528 0.541
Se5 Se 0.387 0.374 0.104
Se6 Se 0.947 0.006 0.432
Cs1 Cs 0.925 0.201 0.963
Cs2 Cs 0.530 0.699 0.684
Te1 Te 0.090 0.732 0.253
Te2 Te 0.364 0.172 0.397
```


(2)
# CsTeSe | Alexandria | PBE | optimized geometry
# N(E_F), states/eV per atom: 1.292
data_CsTeSe
_cell_length_a 5.527
_cell_length_b 5.049
_cell_length_c 5.049
_cell_angle_alpha 120.00
_cell_angle_beta 90.00
_cell_angle_gamma 90.00
_space_group_name_H-M_alt 'P 1'
_space_group_IT_number 1
loop_
_space_group_symop_operation_xyz
'x,y,z'
loop_
_atom_site_label
_atom_site_type_symbol
_atom_site_fract_x
_atom_site_fract_y
_atom_site_fract_z
Se1 Se 0.201 0.333 0.667
Te1 Te 0.140 0.000 0.000
Cs1 Cs 0.659 0.667 0.333


(3)
# CsTe2Se2 | Alexandria | PBE | optimized geometry
# N(E_F), states/eV per atom: 0.781
data_CsTe2Se2
_cell_length_a 9.647
_cell_length_b 9.647
_cell_length_c 3.693
_cell_angle_alpha 90.00
_cell_angle_beta 90.00
_cell_angle_gamma 90.00
_space_group_name_H-M_alt 'P 1'
_space_group_IT_number 1
loop_
_space_group_symop_operation_xyz
'x,y,z'
loop_
_atom_site_label
_atom_site_type_symbol
_atom_site_fract_x
_atom_site_fract_y
_atom_site_fract_z
Se1 Se 0.233 0.733 0.500
Se2 Se 0.733 0.767 0.500
Se3 Se 0.267 0.233 0.500
Se4 Se 0.767 0.267 0.500
Cs1 Cs 0.500 0.500 0.000
Cs2 Cs 0.000 0.000 0.000
Te1 Te 0.120 0.380 0.000
Te2 Te 0.380 0.880 0.000
Te3 Te 0.880 0.620 0.000
Te4 Te 0.620 0.120 0.000


(4)
# CsTe2Se2 | Alexandria | PBE | optimized geometry
# N(E_F), states/eV per atom: 0.444
data_CsTe2Se2
_cell_length_a 9.342
_cell_length_b 9.342
_cell_length_c 7.617
_cell_angle_alpha 104.21
_cell_angle_beta 104.21
_cell_angle_gamma 127.07
_space_group_name_H-M_alt 'P 1'
_space_group_IT_number 1
loop_
_space_group_symop_operation_xyz
'x,y,z'
loop_
_atom_site_label
_atom_site_type_symbol
_atom_site_fract_x
_atom_site_fract_y
_atom_site_fract_z
Se1 Se 0.153 0.347 0.750
Se2 Se 0.847 0.653 0.250
Se3 Se 0.644 0.856 0.750
Se4 Se 0.356 0.144 0.250
Te1 Te 0.587 0.246 0.070
Te2 Te 0.254 0.913 0.430
Te3 Te 0.746 0.087 0.570
Te4 Te 0.413 0.754 0.930
Cs1 Cs 0.872 0.628 0.750
Cs2 Cs 0.128 0.372 0.250


Raw formation energy values, unit eV/atom, following the record order: -0.43; -0.49; -0.24; -0.36.